GGA-PBE Mg2CrRe, relaxed; ΔE to the lowest computed polymorph = 187 meV/atom; DFT formation energy = 1.376 eV per formula unit; total magnetic moment = 1.0 Bohr magnetons per cell; uncorrected energy = -23.885 eV/cell
1.0
4.4286 0.0110 0.0000
-0.0061 4.4286 0.0000
-2.2112 -2.2198 3.1298
Mg Re Cr
2 1 1
Direct
0.0000 0.0000 0.0000
0.2500 0.7500 0.5000
0.5000 0.5000 0.0000
0.7500 0.2500 0.5000